(w)
Computed, not measured: a relaxed CrCuO2 crystal at the PBE+U level of DFT.

abc: 5.987 5.987 5.987
angles: 29.49 29.49 29.49
Fractional coordinates of all 4 atoms:
1 Cr 0.000 0.000 0.000
2 Cu 0.500 0.500 0.500
3 O 0.392 0.392 0.392
4 O 0.608 0.608 0.608

Calculated values
Space-group type   R-3m (166)
Total magnetization   3.0 Bohr magnetons per cell

(x)
Computed, not measured: a relaxed CrCuO2 crystal at the PBE+U level of DFT.

abc: 3.774 3.774 3.774
angles: 60.00 60.00 60.00
Fractional coordinates of all 4 atoms:
1 Cr 0.000 0.000 0.000
2 Cu 0.500 0.500 0.500
3 O 0.250 0.250 0.250
4 O 0.750 0.750 0.750

Calculated values
Space-group type   Fm-3m (225)
Total magnetization   3.0 Bohr magnetons per cell

Which structure wins on stability? (w) wins.